The following is a DFT calculation (PBEsol) of HIrRh3 after structural relaxation.

Its space group is Pm-3m (221). Its uncorrected energy is -7.465 eV/atom. As for the density of states at the Fermi level: 1.148 states/eV/atom. The value obtained for the total magnetization is 0.00 μB/atom.

Lattice parameters (Å, degrees): 3.8424 3.8424 3.8424 90.00 90.00 90.00
Atoms (fractional coordinates):
H 0.0000 0.0000 0.0000
Rh 0.5000 0.0000 0.0000
Rh 0.0000 0.0000 0.5000
Rh 0.0000 0.5000 0.0000
Ir 0.5000 0.5000 0.5000



The following is a DFT calculation (PBEsol) of OsAu2Br after structural relaxation.

The excess energy over the best structure of this formula in the dataset comes out at 0.325 eV/atom. Its space group is Pmmm (47). Its uncorrected energy is -4.502 eV/atom. The uncorrected formation energy comes out at 0.982 eV per atom. As for the density of states at the Fermi level: 1.001 states/eV/atom. The value obtained for the total magnetization is 0.00 μB/atom.

Lattice parameters (Å, degrees): 2.8528 4.6846 5.1367 90.00 90.00 90.00
Atoms (fractional coordinates):
Br 0.5000 0.0000 0.5000
Os 0.0000 0.5000 0.5000
Au 0.0000 0.0000 0.0000
Au 0.5000 0.5000 0.0000



The following is a DFT calculation (PBEsol) of Hf2ZrZn2 after structural relaxation.

Its space group is P4/mbm (127). Its uncorrected energy is -6.788 eV/atom. Its calculated formation energy is -136 meV per atom. As for the density of states at the Fermi level: 1.176 states/eV/atom. The value obtained for the total magnetization is 0.00 μB/atom.

Lattice parameters (Å, degrees): 3.2434 7.5636 7.5636 90.00 90.00 90.00
Atoms (fractional coordinates):
Zn 0.0000 0.8807 0.6193
Zn 0.0000 0.1193 0.3807
Zn 0.0000 0.6193 0.1193
Zn 0.0000 0.3807 0.8807
Hf 0.5000 0.8222 0.3222
Hf 0.5000 0.1778 0.6778
Hf 0.5000 0.6778 0.8222
Hf 0.5000 0.3222 0.1778
Zr 0.0000 0.0000 0.0000
Zr 0.0000 0.5000 0.5000



The following is a DFT calculation (PBEsol) of K2TcMo after structural relaxation.

The excess energy over the best structure of this formula in the dataset comes out at 0.508 eV/atom. Its space group is C2/m (12). Its uncorrected energy is -4.875 eV/atom. Its calculated formation energy is 1451 meV per atom. As for the density of states at the Fermi level: 0.914 states/eV/atom. The value obtained for the total magnetization is 0.00 μB/atom.

Lattice parameters (Å, degrees): 2.6599 5.2035 6.5544 110.64 96.66 102.64
Atoms (fractional coordinates):
Tc 0.0000 0.5000 0.0000
K 0.5000 0.5000 0.5000
K 0.0000 0.0000 0.5000
Mo 0.5000 0.0000 0.0000



The following is a DFT calculation (PBEsol) of Ca4AgCl after structural relaxation.

Its space group is F-43m (216). Its uncorrected energy is -2.102 eV/atom. The uncorrected formation energy comes out at 0.206 eV per atom. As for the density of states at the Fermi level: 1.512 states/eV/atom. The value obtained for the total magnetization is 0.00 μB/atom.

Lattice parameters (Å, degrees): 6.7211 6.7211 6.7211 60.00 60.00 60.00
Atoms (fractional coordinates):
Ca 0.8773 0.3742 0.3742
Ca 0.3742 0.8773 0.3742
Ca 0.3742 0.3742 0.3742
Ca 0.3742 0.3742 0.8773
Cl 0.7500 0.7500 0.7500
Ag 0.0000 0.0000 0.0000



The following is a DFT calculation (PBEsol) of BaCa4Co2N4 after structural relaxation.

Its space group is P4/ncc (130). Its uncorrected energy is -6.204 eV/atom. The uncorrected formation energy comes out at -0.725 eV per atom. As for the density of states at the Fermi level: 0.113 states/eV/atom. The value obtained for the total magnetization is 0.36 μB/atom.

Lattice parameters (Å, degrees): 8.2579 8.2579 11.9501 90.00 90.00 90.00
Atoms (fractional coordinates):
Ca 0.8807 0.1665 0.0962
Ca 0.8335 0.8807 0.9038
Ca 0.6665 0.3807 0.5962
Ca 0.8807 0.8335 0.5962
Ca 0.1193 0.1665 0.5962
Ca 0.1193 0.8335 0.0962
Ca 0.3335 0.3807 0.0962
Ca 0.6193 0.6665 0.4038
Ca 0.1665 0.8807 0.4038
Ca 0.3335 0.6193 0.5962
Ca 0.6193 0.3335 0.9038
Ca 0.6665 0.6193 0.0962
Ca 0.3807 0.6665 0.9038
Ca 0.1665 0.1193 0.9038
Ca 0.3807 0.3335 0.4038
Ca 0.8335 0.1193 0.4038
N 0.6811 0.6221 0.8950
N 0.3189 0.3779 0.8950
N 0.6221 0.3189 0.1050
N 0.8189 0.8779 0.1050
N 0.3779 0.3189 0.6050
N 0.1221 0.8189 0.8950
N 0.1811 0.1221 0.1050
N 0.8779 0.8189 0.3950
N 0.6221 0.6811 0.6050
N 0.6811 0.3779 0.3950
N 0.8189 0.1221 0.6050
N 0.1811 0.8779 0.6050
N 0.8779 0.1811 0.8950
N 0.1221 0.1811 0.3950
N 0.3779 0.6811 0.1050
N 0.3189 0.6221 0.3950
Co 0.8445 0.8445 0.2500
Co 0.1555 0.8445 0.7500
Co 0.1555 0.1555 0.2500
Co 0.3445 0.3445 0.7500
Co 0.3445 0.6555 0.2500
Co 0.8445 0.1555 0.7500
Co 0.6555 0.3445 0.2500
Co 0.6555 0.6555 0.7500
Ba 0.5000 0.0000 0.1596
Ba 0.0000 0.5000 0.8404
Ba 0.0000 0.5000 0.3404
Ba 0.5000 0.0000 0.6596



The following is a DFT calculation (PBEsol) of PPb2Cl after structural relaxation.

The excess energy over the best structure of this formula in the dataset comes out at 0.149 eV/atom. Its space group is Cm (8). Its uncorrected energy is -4.199 eV/atom. The uncorrected formation energy comes out at -0.250 eV per atom. As for the density of states at the Fermi level: 0.509 states/eV/atom. The value obtained for the total magnetization is 0.00 μB/atom.

Lattice parameters (Å, degrees): 3.7689 3.9386 7.7470 104.65 104.08 90.00
Atoms (fractional coordinates):
Pb 0.0597 0.0604 0.1193
Pb 0.2800 0.7790 0.5601
Cl 0.4570 0.4574 0.9141
P 0.7033 0.2032 0.4065



The following is a DFT calculation (PBEsol) of MgScMn2 after structural relaxation.

Its space group is R-3m (166). Its uncorrected energy is -6.509 eV/atom. Its calculated formation energy is 452 meV per atom. As for the density of states at the Fermi level: 1.117 states/eV/atom. The value obtained for the total magnetization is 1.42 μB/atom.

Lattice parameters (Å, degrees): 2.9360 2.9360 9.1930 80.81 80.81 60.00
Atoms (fractional coordinates):
Mn 0.7522 0.7522 0.7435
Mn 0.2478 0.2478 0.2565
Sc 0.5000 0.5000 0.5000
Mg 0.0000 0.0000 0.0000



- Which of these has the lowest uncorrected energy?
  HIrRh3



- uncorrected energy of number 3 (Hf2ZrZn2)?
  -6.788 eV/atom



- What is the uncorrected energy in the third record?
  -6.788 eV/atom



- Which value of uncorrected energy does entry 7 give?
  -4.199 eV/atom